No. 1
A relaxed structure of NiAs3Pd. Source: the Alexandria database, functional PBEsol.

Results
Formation enthalpy at 0 K ... 0.442 eV per atom
Crystal system ... cubic

```
NiAs3Pd
1.0
-3.922 0.210 -2.192
0.030 -4.472 -0.483
-2.202 -0.436 3.898
Ni As Pd
1 3 1
direct
0.000 0.000 0.000
0.000 0.000 0.500
0.000 0.500 0.000
0.500 0.000 0.000
0.500 0.500 0.500
```

***

No. 2
A relaxed structure of TbNdFe4. Source: the Alexandria database, functional PBEsol.

Results
Formation enthalpy at 0 K ... 0.024 eV per atom
Crystal system ... cubic

```
TbNdFe4
1.0
5.081 0.000 0.000
2.541 4.400 0.000
2.541 1.467 4.149
Fe Tb Nd
4 1 1
direct
0.625 0.124 0.625
0.625 0.625 0.625
0.625 0.625 0.124
0.124 0.625 0.625
0.000 0.000 0.000
0.250 0.250 0.250
```

***

No. 3
A relaxed structure of TiNi3Sn2P6O24. Source: the Alexandria database, functional PBEsol.

Results
Crystal system ... trigonal

```
TiNi3Sn2P6O24
1.0
8.394 -0.010 -0.007
4.004 7.378 -0.007
4.004 2.379 6.984
O P Ni Sn Ti
24 6 3 2 1
direct
0.399 0.172 0.994
0.484 0.677 0.895
0.247 0.449 0.594
0.989 0.611 0.825
0.755 0.090 0.930
0.594 0.247 0.449
0.110 0.523 0.313
0.825 0.989 0.611
0.449 0.594 0.247
0.405 0.752 0.565
0.172 0.994 0.399
0.677 0.895 0.484
0.090 0.930 0.755
0.895 0.484 0.677
0.313 0.110 0.523
0.565 0.405 0.752
0.930 0.755 0.090
0.994 0.399 0.172
0.611 0.825 0.989
0.073 0.248 0.903
0.752 0.565 0.405
0.248 0.903 0.073
0.523 0.313 0.110
0.903 0.073 0.248
0.746 0.045 0.451
0.250 0.959 0.544
0.045 0.451 0.746
0.544 0.250 0.959
0.451 0.746 0.045
0.959 0.544 0.250
0.645 0.645 0.645
0.355 0.355 0.355
0.148 0.148 0.148
0.002 0.002 0.002
0.502 0.502 0.502
0.850 0.850 0.850
```

***

No. 4
A relaxed structure of Cd3NiN. Source: the Alexandria database, functional PBEsol.

Results
Crystal system ... cubic

```
Cd3NiN
1.0
-2.408 2.139 3.633
-4.214 -1.097 -2.147
-0.125 -4.218 2.400
Cd Ni N
3 1 1
direct
0.000 0.500 0.000
0.000 0.000 0.500
0.500 0.000 0.000
0.000 0.000 0.000
0.500 0.500 0.500
```

***

No. 5
A relaxed structure of Mg2GaHg2. Source: the Alexandria database, functional PBEsol.

Results
Formation enthalpy at 0 K ... -0.143 eV per atom
Crystal system ... tetragonal

```
Mg2GaHg2
1.0
3.408 0.000 0.000
0.000 7.842 0.000
0.000 0.000 7.842
Mg Hg Ga
4 4 2
direct
0.500 0.336 0.164
0.500 0.164 0.664
0.500 0.836 0.336
0.500 0.664 0.836
0.000 0.362 0.862
0.000 0.138 0.362
0.000 0.638 0.138
0.000 0.862 0.638
0.000 0.500 0.500
0.000 0.000 0.000
```

***

No. 6
A relaxed structure of ZrSc2Tc. Source: the Alexandria database, functional PBEsol.

Results
Formation enthalpy at 0 K ... -0.036 eV per atom
Crystal system ... monoclinic

```
ZrSc2Tc
1.0
3.132 0.000 0.001
0.000 4.378 0.000
-1.392 0.000 5.688
Sc Zr Tc
2 1 1
direct
0.001 0.000 0.997
0.675 0.500 0.273
0.327 0.500 0.721
0.497 0.000 0.509
```

***

No. 7
A relaxed structure of RbBeSb2I. Source: the Alexandria database, functional PBEsol.

Results
Crystal system ... tetragonal

```
RbBeSb2I
1.0
-6.373 1.611 -0.453
-0.600 -4.109 -6.168
-1.790 -5.925 4.121
Sb Be I Rb
2 1 1 1
direct
0.000 0.000 0.500
0.000 0.500 0.000
0.500 0.500 0.500
0.500 0.000 0.000
0.000 0.000 0.000
```

***

No. 8
A relaxed structure of LiCaCr2O. Source: the Alexandria database, functional PBEsol.

Results
Crystal system ... tetragonal

```
LiCaCr2O
1.0
4.036 0.000 0.000
0.000 4.036 0.000
0.000 0.000 4.513
Cr Li O Ca
2 1 1 1
direct
0.500 0.000 0.000
0.000 0.500 0.000
0.000 0.000 0.500
0.000 0.000 0.000
0.500 0.500 0.500
```

***

No. 9
A relaxed structure of Nd2In8Pd. Source: the Alexandria database, functional PBEsol.

Results
Formation enthalpy at 0 K ... -0.508 eV per atom
Crystal system ... tetragonal

```
Nd2In8Pd
1.0
4.650 0.000 0.000
0.000 4.650 0.000
0.000 0.000 12.055
Pd In Nd
1 8 2
direct
0.500 0.500 0.000
0.500 0.000 0.876
0.000 0.500 0.876
0.500 0.000 0.500
0.000 0.500 0.500
0.000 0.000 0.308
0.500 0.000 0.124
0.000 0.500 0.124
0.000 0.000 0.692
0.500 0.500 0.690
0.500 0.500 0.310
```

***

No. 10
A relaxed structure of Be4CoIr. Source: the Alexandria database, functional PBEsol.

Results
Formation enthalpy at 0 K ... -0.395 eV per atom
Crystal system ... cubic

```
Be4CoIr
1.0
-2.557 -1.342 3.065
-0.970 -4.087 0.293
1.541 -2.308 3.168
Be Ir Co
4 1 1
direct
0.375 0.375 0.874
0.375 0.375 0.375
0.375 0.874 0.375
0.874 0.375 0.375
0.000 0.000 0.000
0.750 0.750 0.750
```

***

No. 11
A relaxed structure of Zn3CoRu. Source: the Alexandria database, functional PBEsol.

Results
Formation enthalpy at 0 K ... 0.978 eV per atom
Crystal system ... cubic

```
Zn3CoRu
1.0
4.288 0.000 0.000
0.000 4.288 0.000
0.000 0.000 4.288
Ru Zn Co
1 3 1
direct
0.500 0.500 0.500
0.500 0.000 0.000
0.000 0.500 0.000
0.000 0.000 0.500
0.000 0.000 0.000
```

***

No. 12
A relaxed structure of Li2ZrF6. Source: the Alexandria database, functional PBEsol.

Results
Crystal system ... monoclinic

```
Li2ZrF6
1.0
-4.086 -0.652 -2.664
-3.737 -1.711 6.151
-0.823 10.803 -1.381
Li F Zr
8 24 4
direct
0.501 0.090 0.694
0.032 0.537 0.161
0.968 0.463 0.839
0.468 0.537 0.661
0.001 0.910 0.806
0.532 0.463 0.339
0.499 0.910 0.306
0.999 0.090 0.194
0.136 0.398 0.675
0.815 0.955 0.426
0.364 0.398 0.175
0.685 0.955 0.926
0.864 0.602 0.325
0.315 0.045 0.074
0.227 0.456 0.457
0.746 0.249 0.846
0.185 0.045 0.574
0.727 0.898 0.154
0.360 0.747 0.400
0.227 0.102 0.346
0.727 0.544 0.043
0.273 0.456 0.957
0.636 0.602 0.825
0.754 0.249 0.346
0.140 0.747 0.900
0.640 0.253 0.600
0.773 0.898 0.654
0.860 0.253 0.100
0.273 0.102 0.846
0.254 0.751 0.154
0.773 0.544 0.543
0.246 0.751 0.654
0.514 0.246 0.999
0.986 0.246 0.499
0.014 0.754 0.501
0.486 0.754 0.001
```

***

| no. | E_tot (hartree per atom) |
| --- | --- |
| 1 | -0.185 |
| 2 | -0.281 |
| 3 | -0.268 |
| 4 | -0.089 |
| 5 | -0.063 |
| 6 | -0.310 |
| 7 | -0.060 |
| 8 | -0.223 |
| 9 | -0.153 |
| 10 | -0.220 |
| 11 | -0.131 |
| 12 | -0.227 |